(1)
# MgSn2, optimized geometry, DFT PBE-GGA
data_MgSn2
_chemical_formula_sum 'Mg4 Sn8'
_symmetry_space_group_name_H-M 'I 41/a m d'
_symmetry_Int_Tables_number 141
_cell_length_a 3.4172
_cell_length_b 3.4172
_cell_length_c 26.5734
_cell_angle_alpha 90.00
_cell_angle_beta 90.00
_cell_angle_gamma 90.00
loop_
_symmetry_equiv_pos_as_xyz
'x,y,z'
'-x,-y,-z'
'-y+1/4,x+3/4,z+1/4'
'y+1/4,-x+3/4,-z+1/4'
'-x+1/2,-y,z+1/2'
'x+1/2,y,-z+1/2'
'y+1/4,-x+1/4,z+3/4'
'-y+1/4,x+1/4,-z+3/4'
'x,-y,-z'
'-x,y,z'
'-y+1/4,-x+1/4,-z+3/4'
'y+1/4,x+1/4,z+3/4'
'-x+1/2,y,-z+1/2'
'x+1/2,-y,z+1/2'
'y+1/4,x+3/4,-z+1/4'
'-y+1/4,-x+3/4,z+1/4'
'x+1/2,y+1/2,z+1/2'
'-x+1/2,-y+1/2,-z+1/2'
'-y+3/4,x+1/4,z+3/4'
'y+3/4,-x+1/4,-z+3/4'
'-x,-y+1/2,z'
'x,y+1/2,-z'
'y+3/4,-x+3/4,z+1/4'
'-y+3/4,x+3/4,-z+1/4'
'x+1/2,-y+1/2,-z+1/2'
'-x+1/2,y+1/2,z+1/2'
'-y+3/4,-x+3/4,-z+1/4'
'y+3/4,x+3/4,z+1/4'
'-x,y+1/2,-z'
'x,-y+1/2,z'
'y+3/4,x+1/4,-z+3/4'
'-y+3/4,-x+1/4,z+3/4'
loop_
_atom_site_label
_atom_site_fract_x
_atom_site_fract_y
_atom_site_fract_z
Mg1 0.0000 0.2500 0.3750
Sn1 0.0000 0.2500 0.8001
# D(E_F) ... 3.33 states/eV/cell
# Formation energy ... -0.070 eV per atom
# VASP energy ... -3.27 eV per atom



(2)
# MgSn, optimized geometry, DFT PBE-GGA
data_MgSn
_chemical_formula_sum 'Mg1 Sn1'
_symmetry_space_group_name_H-M 'P m m m'
_symmetry_Int_Tables_number 47
_cell_length_a 3.3631
_cell_length_b 3.3972
_cell_length_c 4.1938
_cell_angle_alpha 90.00
_cell_angle_beta 90.00
_cell_angle_gamma 90.00
loop_
_symmetry_equiv_pos_as_xyz
'x,y,z'
'-x,-y,-z'
'-x,-y,z'
'x,y,-z'
'x,-y,-z'
'-x,y,z'
'-x,y,-z'
'x,-y,z'
loop_
_atom_site_label
_atom_site_fract_x
_atom_site_fract_y
_atom_site_fract_z
Mg1 0.0000 0.0000 0.0000
Sn1 0.5000 0.5000 0.5000
# D(E_F) ... 0.78 states/eV/cell
# Formation energy ... -0.124 eV per atom
# VASP energy ... -2.92 eV per atom



(3)
# MgSn, optimized geometry, DFT PBE-GGA
data_MgSn
_chemical_formula_sum 'Mg4 Sn4'
_symmetry_space_group_name_H-M 'F -4 3 m'
_symmetry_Int_Tables_number 216
_symmetry_space_group_name_Hall 'F -4 2 3'
_cell_length_a 6.5937
_cell_length_b 6.5937
_cell_length_c 6.5937
_cell_angle_alpha 90.00
_cell_angle_beta 90.00
_cell_angle_gamma 90.00
loop_
_atom_site_label
_atom_site_fract_x
_atom_site_fract_y
_atom_site_fract_z
Mg1 0.0000 0.0000 0.0000
Sn1 0.2500 0.2500 0.7500
# D(E_F) ... 7.78 states/eV/cell
# Formation energy ... 0.452 eV per atom
# VASP energy ... -2.35 eV per atom